A relaxed VSeIN2 crystal, computed with PBE.

Calculated values
Its energy above the most stable polymorph in this dataset is 0.00 kJ per mole of atoms. As for the crystal system: tetragonal. Its uncorrected formation energy is 603.4 meV/atom.

Geometry as POSCAR:
```
VSeIN2
1.0
3.901 0.000 0.000
0.000 3.901 0.000
0.000 0.000 5.622
V Se I N
1 1 1 2
direct
0.000 0.000 0.000 V
0.000 0.000 0.500 Se
0.500 0.500 0.500 I
0.000 0.500 0.000 N
0.500 0.000 0.000 N
```